The following is a DFT calculation (PBE-GGA) of a relaxed KTl6Pb crystal.

Cell and atoms, written as CIF:
```
data_KTl6Pb
_cell_length_a 5.676
_cell_length_b 7.510
_cell_length_c 11.917
_cell_angle_alpha 90.00
_cell_angle_beta 90.00
_cell_angle_gamma 90.00
_space_group_name_H-M_alt 'A m m 2'
_space_group_IT_number 38
_space_group_name_Hall 'A 2 -2'
loop_
_atom_site_label
_atom_site_fract_x
_atom_site_fract_y
_atom_site_fract_z
K1 0.000 0.000 0.000
Tl1 0.000 0.000 0.521
Tl2 0.000 0.234 0.261
Tl3 0.500 0.000 0.189
Tl4 0.500 0.226 0.440
Pb1 0.500 0.000 0.700
```

Values from the calculation:
ΔE to the lowest computed polymorph (meV/atom): 0
DFT formation energy (kJ/mol of atoms): -3

The following is a DFT calculation (PBE-GGA) of a relaxed ThCdGePd crystal.

Cell and atoms, written as CIF:
```
data_ThCdGePd
_cell_length_a 7.027
_cell_length_b 7.027
_cell_length_c 7.027
_cell_angle_alpha 90.00
_cell_angle_beta 90.00
_cell_angle_gamma 90.00
_space_group_name_H-M_alt 'F -4 3 m'
_space_group_IT_number 216
_space_group_name_Hall 'F -4 2 3'
loop_
_atom_site_label
_atom_site_fract_x
_atom_site_fract_y
_atom_site_fract_z
Th1 0.000 0.000 0.000
Cd1 0.000 0.000 0.500
Ge1 0.250 0.250 0.250
Pd1 0.250 0.250 0.750
```

Values from the calculation:
DFT formation energy (kJ/mol of atoms): -47

The following is a DFT calculation (PBE-GGA) of a relaxed La2Y crystal.

Cell and atoms, written as CIF:
```
data_La2Y
_cell_length_a 7.0155
_cell_length_b 7.0155
_cell_length_c 9.9855
_cell_angle_alpha 90.00
_cell_angle_beta 90.00
_cell_angle_gamma 120.00
_space_group_name_H-M_alt 'P 63/m m c'
_space_group_IT_number 194
_space_group_name_Hall '-P 6c 2c'
loop_
_atom_site_label
_atom_site_fract_x
_atom_site_fract_y
_atom_site_fract_z
La1 0.0000 0.0000 0.0000
La2 0.1831 0.3662 0.2500
Y1 0.3333 0.6667 0.5731
```

Values from the calculation:
ΔE to the lowest computed polymorph (meV/atom): 160
DFT formation energy (kJ/mol of atoms): 17

The following is a DFT calculation (PBE-GGA) of a relaxed KBa2Mo crystal.

Cell and atoms, written as CIF:
```
data_KBa2Mo
_cell_length_a 4.000
_cell_length_b 4.000
_cell_length_c 11.583
_cell_angle_alpha 90.00
_cell_angle_beta 90.07
_cell_angle_gamma 90.00
_space_group_name_H-M_alt 'P 1 2/m 1'
_space_group_IT_number 10
_space_group_name_Hall '-P 2y'
loop_
_atom_site_label
_atom_site_fract_x
_atom_site_fract_y
_atom_site_fract_z
K1 0.000 0.000 0.000
Ba1 0.500 0.500 0.327
Mo1 0.000 0.000 0.500
```

Values from the calculation:
ΔE to the lowest computed polymorph (meV/atom): 0
DFT formation energy (kJ/mol of atoms): 76

The following is a DFT calculation (PBE-GGA) of a relaxed PmCu4Au3O12 crystal.

Cell and atoms, written as CIF:
```
data_PmCu4Au3O12
_cell_length_a 7.577
_cell_length_b 7.577
_cell_length_c 7.577
_cell_angle_alpha 90.00
_cell_angle_beta 90.00
_cell_angle_gamma 90.00
_space_group_name_H-M_alt 'I m -3'
_space_group_IT_number 204
_space_group_name_Hall '-I 2 2 3'
loop_
_atom_site_label
_atom_site_fract_x
_atom_site_fract_y
_atom_site_fract_z
Pm1 0.000 0.000 0.000
Cu1 0.250 0.250 0.250
Au1 0.000 0.000 0.500
O1 0.000 0.175 0.296
```

Values from the calculation:
E (eV for the cell shown): -208.6

The following is a DFT calculation (PBE-GGA) of a relaxed SmDy5Er7 crystal.

Cell and atoms, written as CIF:
```
data_SmDy5Er7
_cell_length_a 6.663
_cell_length_b 10.998
_cell_length_c 11.485
_cell_angle_alpha 90.00
_cell_angle_beta 90.00
_cell_angle_gamma 90.00
_space_group_name_H-M_alt 'I m m 2'
_space_group_IT_number 44
_space_group_name_Hall 'I 2 -2'
loop_
_atom_site_label
_atom_site_fract_x
_atom_site_fract_y
_atom_site_fract_z
Sm1 0.000 0.000 0.000
Dy1 0.000 0.500 0.803
Dy2 0.232 0.228 0.801
Er1 0.000 0.000 0.304
Er2 0.000 0.000 0.610
Er3 0.000 0.330 0.551
Er4 0.000 0.331 0.053
Er5 0.000 0.500 0.301
```

Values from the calculation:
ΔE to the lowest computed polymorph (meV/atom): 0
DFT formation energy (kJ/mol of atoms): 25

The following is a DFT calculation (PBE-GGA) of a relaxed AlCdOs2 crystal.

Cell and atoms, written as CIF:
```
data_AlCdOs2
_cell_length_a 2.816
_cell_length_b 4.879
_cell_length_c 9.526
_cell_angle_alpha 90.00
_cell_angle_beta 90.00
_cell_angle_gamma 90.00
_space_group_name_H-M_alt 'C m m 2'
_space_group_IT_number 35
_space_group_name_Hall 'C 2 -2'
loop_
_atom_site_label
_atom_site_fract_x
_atom_site_fract_y
_atom_site_fract_z
Al1 0.000 0.000 0.000
Cd1 0.000 0.500 0.722
Os1 0.000 0.000 0.454
Os2 0.000 0.500 0.223
```

Values from the calculation:
ΔE to the lowest computed polymorph (meV/atom): 349
DFT formation energy (kJ/mol of atoms): 43

The following is a DFT calculation (PBE-GGA) of a relaxed BeCrSi crystal.

Cell and atoms, written as CIF:
```
data_BeCrSi
_cell_length_a 5.322
_cell_length_b 5.322
_cell_length_c 5.322
_cell_angle_alpha 90.00
_cell_angle_beta 90.00
_cell_angle_gamma 90.00
_space_group_name_H-M_alt 'F -4 3 m'
_space_group_IT_number 216
_space_group_name_Hall 'F -4 2 3'
loop_
_atom_site_label
_atom_site_fract_x
_atom_site_fract_y
_atom_site_fract_z
Be1 0.000 0.000 0.000
Cr1 0.250 0.250 0.250
Si1 0.250 0.250 0.750
```

Values from the calculation:
E (eV for the cell shown): -73.4

The following is a DFT calculation (PBE-GGA) of a relaxed SmZnGaRu crystal.

Cell and atoms, written as CIF:
```
data_SmZnGaRu
_cell_length_a 4.2779
_cell_length_b 4.2779
_cell_length_c 15.1432
_cell_angle_alpha 90.00
_cell_angle_beta 90.00
_cell_angle_gamma 120.00
_space_group_name_H-M_alt 'R 3 m'
_space_group_IT_number 160
_space_group_name_Hall 'R 3 -2"'
loop_
_atom_site_label
_atom_site_fract_x
_atom_site_fract_y
_atom_site_fract_z
Sm1 0.0000 0.0000 0.0000
Zn1 0.0000 0.0000 0.2084
Ga1 0.0000 0.0000 0.7882
Ru1 0.0000 0.0000 0.4718
```

Values from the calculation:
DFT formation energy (kJ/mol of atoms): -31

The following is a DFT calculation (PBE-GGA) of a relaxed TaReTc2 crystal.

Cell and atoms, written as CIF:
```
data_TaReTc2
_cell_length_a 2.770
_cell_length_b 2.770
_cell_length_c 8.174
_cell_angle_alpha 90.00
_cell_angle_beta 90.00
_cell_angle_gamma 90.00
_space_group_name_H-M_alt 'P 4 m m'
_space_group_IT_number 99
_space_group_name_Hall 'P 4 -2'
loop_
_atom_site_label
_atom_site_fract_x
_atom_site_fract_y
_atom_site_fract_z
Ta1 0.000 0.000 0.000
Re1 0.500 0.500 0.729
Tc1 0.000 0.000 0.498
Tc2 0.500 0.500 0.270
```

Values from the calculation:
ΔE to the lowest computed polymorph (meV/atom): 119
DFT formation energy (kJ/mol of atoms): 4

The following is a DFT calculation (PBE-GGA) of a relaxed SrH2I2O crystal.

Cell and atoms, written as CIF:
```
data_SrH2I2O
_cell_length_a 13.765
_cell_length_b 4.483
_cell_length_c 9.654
_cell_angle_alpha 90.00
_cell_angle_beta 90.00
_cell_angle_gamma 90.00
_space_group_name_H-M_alt 'P n m a'
_space_group_IT_number 62
_space_group_name_Hall '-P 2ac 2n'
loop_
_atom_site_label
_atom_site_fract_x
_atom_site_fract_y
_atom_site_fract_z
Sr1 0.224 0.250 0.123
H1 0.117 0.250 0.695
H2 0.128 0.250 0.533
I1 0.111 0.750 0.340
I2 0.121 0.750 0.903
O1 0.166 0.250 0.620
```

Values from the calculation:
E (eV for the cell shown): -99.1

The following is a DFT calculation (PBE-GGA) of a relaxed SrMgTl2Hg crystal.

Cell and atoms, written as CIF:
```
data_SrMgTl2Hg
_cell_length_a 6.360
_cell_length_b 6.360
_cell_length_c 6.025
_cell_angle_alpha 90.00
_cell_angle_beta 90.00
_cell_angle_gamma 90.00
_space_group_name_H-M_alt 'P 4/m m m'
_space_group_IT_number 123
_space_group_name_Hall '-P 4 2'
loop_
_atom_site_label
_atom_site_fract_x
_atom_site_fract_y
_atom_site_fract_z
Sr1 0.000 0.000 0.000
Mg1 0.500 0.500 0.500
Tl1 0.000 0.500 0.000
Hg1 0.000 0.000 0.500
```

Values from the calculation:
DFT formation energy (kJ/mol of atoms): 51

| no. | DOS(E_F) (states/eV/cell) | mass density (g cm⁻³) |
| --- | --- | --- |
| 1 | 7.3 | 9.63 |
| 2 | 5.0 | 10.02 |
| 3 | 22.3 | 5.72 |
| 4 | 4.9 | 3.67 |
| 5 | 13.2 | 9.03 |
| 6 | 46.7 | 8.42 |
| 7 | 7.6 | 13.19 |
| 8 | 9.2 | 3.93 |
| 9 | 9.3 | 8.02 |
| 10 | 3.1 | 14.91 |
| 11 | 0.0 | 4.01 |
| 12 | 6.4 | 4.91 |